DFT (PBE-GGA) results for Rb2Ir2Pt after structural relaxation.

Summary:
symmetry = I4/mmm, No. 139

a = 3.5191 Å, b = 3.5191 Å, c = 11.1748 Å
α = 99.06°, β = 99.06°, γ = 90.00°
Closest atoms and distances in Å follow each position.
Element x y z (fractional)
1 Ir 0.7500 0.2500 0.5000  4 Ir 2.49
2 Ir 0.2500 0.7500 0.5000  4 Ir 2.49
3 Pt 0.0000 0.0000 0.0000  8 Rb 3.37, 4 Pt 3.52
4 Rb 0.6046 0.6046 0.2091  4 Pt 3.37, 4 Rb 3.52, 4 Ir 3.62
5 Rb 0.3954 0.3954 0.7909  4 Pt 3.37, 4 Rb 3.52, 4 Ir 3.62

DFT (PBE-GGA) results for RbIrPt after structural relaxation.

Summary:
symmetry = F-43m, No. 216

a = 4.7177 Å, b = 4.7177 Å, c = 4.7177 Å
α = 60.00°, β = 60.00°, γ = 60.00°
Closest atoms and distances in Å follow each position.
Element x y z (fractional)
1 Ir 0.2500 0.2500 0.2500  4 Rb 2.89
2 Pt 0.7500 0.7500 0.7500  4 Rb 2.89
3 Rb 0.0000 0.0000 0.0000  4 Pt 2.89, 4 Ir 2.89

Total energy: -22.66 -9.10 (eV per formula unit)